Compound: Er4IrRu2
Source: the Alexandria database
Functional: PBE-GGA
Structure: optimized geometry

POSCAR file:
```
Er4IrRu2
1.0
6.7379 0.0000 0.0000
0.0000 6.7379 0.0000
0.0000 0.0000 6.7497
Er Ir Ru
8 2 4
direct
0.2500 0.2500 0.2500
0.2500 0.2500 0.7500
0.2500 0.7500 0.2500
0.2500 0.7500 0.7500
0.7500 0.2500 0.2500
0.7500 0.2500 0.7500
0.7500 0.7500 0.2500
0.7500 0.7500 0.7500
0.0000 0.0000 0.0000
0.5000 0.5000 0.5000
0.0000 0.5000 0.0000
0.0000 0.5000 0.5000
0.5000 0.0000 0.0000
0.5000 0.0000 0.5000
```

Values from the calculation:
DOS at the Fermi energy: 4.2 states/eV/f.u.
formation energy from the elements: -0.52 eV per atom
uncorrected energy: -7.04 eV/atom